Entry 1:
Material: Ac3Nd4In4
Method: DFT, PBE-GGA
State: optimized geometry

Properties
As for the calculated volume: 35.336 A^3/atom. As for the formation energy: -0.287 eV/atom.

a b c (Å): 5.135 8.532 10.173
angles (deg): 114.79 104.62 90.00
Positions (direct):
Ac: 0.115 0.115 0.229
In: 0.500 0.184 0.000
Ac: 0.000 0.500 0.000
In: 0.500 0.816 0.000
Ac: 0.885 0.885 0.771
Nd: 0.671 0.469 0.341
Nd: 0.329 0.531 0.659
In: 0.217 0.717 0.434
Nd: 0.329 0.128 0.659
Nd: 0.671 0.872 0.341
In: 0.783 0.283 0.566



Entry 2:
Material: LaAl2Cd
Method: DFT, PBE-GGA
State: optimized geometry

Properties
As for the calculated volume: 23.227 A^3/atom. As for the formation energy: 0.077 eV/atom.

a b c (Å): 10.464 10.464 10.464
angles (deg): 17.75 17.75 17.75
Positions (direct):
Al: 0.507 0.507 0.507
La: 0.750 0.750 0.750
Cd: 0.250 0.250 0.250
Al: 0.993 0.993 0.993



Entry 3:
Material: PmPr6Ho2Tm3
Method: DFT, PBE-GGA
State: optimized geometry

Properties
As for the calculated volume: 33.380 A^3/atom. As for the formation energy: 0.015 eV/atom.

a b c (Å): 6.295 6.295 11.857
angles (deg): 95.07 95.07 120.00
Positions (direct):
Tm: 0.167 0.833 0.500
Pr: 0.249 0.249 0.748
Tm: 0.500 0.500 0.500
Pr: 0.582 0.916 0.748
Pm: 0.000 0.000 0.000
Pr: 0.418 0.084 0.252
Tm: 0.833 0.167 0.500
Pr: 0.084 0.418 0.252
Pr: 0.751 0.751 0.252
Ho: 0.333 0.667 0.000
Ho: 0.667 0.333 0.000
Pr: 0.916 0.582 0.748



Entry 4:
Material: Bi2B2Pt
Method: DFT, PBE-GGA
State: optimized geometry

Properties
For the excess energy over the best structure of this formula in the dataset, the calculation gives 325 meV per atom. As for the calculated volume: 21.782 A^3/atom. As for the formation energy: 0.833 eV/atom.

a b c (Å): 7.664 7.664 3.708
angles (deg): 90.00 90.00 90.00
Positions (direct):
B: 0.428 0.072 0.500
B: 0.928 0.428 0.500
Bi: 0.286 0.214 0.000
Bi: 0.714 0.786 0.000
B: 0.072 0.572 0.500
Bi: 0.786 0.286 0.000
Pt: 0.000 0.000 0.000
Pt: 0.500 0.500 0.000
Bi: 0.214 0.714 0.000
B: 0.572 0.928 0.500



Number 1: density of states at the Fermi level 11.88 states/eV/f.u.. Number 2: density of states at the Fermi level 2.77 states/eV/f.u.. Number 3: density of states at the Fermi level 12.73 states/eV/f.u.. Number 4: density of states at the Fermi level 2.84 states/eV/f.u..